A relaxed structure of PrCoNO, computed with PBE+U.

**Energy relative to the lowest polymorph listed for this composition**: 106 kJ/mol of formula units
**Symmetry**: P4/nmm (129)
**Size of the total moment**: 0.75 μB/atom

Unit cell a=5.016 b=5.016 c=4.539 alpha=90.00 beta=90.00 gamma=90.00
Each line ends with the local moment (μB).
Fractional coordinates of all 8 atoms:
Co 0.500 0.000 0.985  2.49
Pr 0.000 0.000 0.500  0.00
O 0.000 0.000 0.000  0.11
N 0.000 0.500 0.484  0.28
O 0.500 0.500 0.000  0.11
Pr 0.500 0.500 0.500  0.00
N 0.500 0.000 0.516  0.28
Co 0.000 0.500 0.015  2.49